Computed, not measured: crystalline BaCd2Au at its relaxed geometry at the GGA-PBE level of DFT.

Values from the calculation:
The formation energy is -241 meV per atom. The space group is P4/mmm. The total magnetization comes out at 0.00 μB per formula unit.

abc: 3.7517 3.7517 7.8488
angles: 90.00 90.00 90.00
Atoms (fractional coordinates):
1 Ba 0.0000 0.0000 0.0000
2 Cd 0.5000 0.5000 0.3120
3 Cd 0.5000 0.5000 0.6880
4 Au 0.0000 0.0000 0.5000